The following is a PBE calculation of a relaxed Sm3Ho2Mg crystal, from the Alexandria database.

Cell: 3.6038 3.6038 14.3981 Å, 90.00 90.00 90.00°
Last column: nearest neighbours and their distance in Å.
Fractional coordinates of all 6 atoms:
Sm 0.0000 0.0000 0.0000  8 Ho 3.58, 4 Sm 3.60
Sm 0.0000 0.0000 0.3465  4 Mg 3.37, 4 Ho 3.55, 4 Sm 3.60
Sm 0.0000 0.0000 0.6535  4 Mg 3.37, 4 Ho 3.55, 4 Sm 3.60
Ho 0.5000 0.5000 0.1744  8 Sm 3.55-3.58, 4 Ho 3.60
Ho 0.5000 0.5000 0.8256  8 Sm 3.55-3.58, 4 Ho 3.60
Mg 0.5000 0.5000 0.5000  8 Sm 3.37, 4 Mg 3.60

Computed properties:
- Symmetry: P4/mmm, No. 123
- Final energy: -25.002 eV per cell
- Magnetization: 0.0 μB/f.u.
- Calculated volume: 31.166 Å³ per atom
- Energy of formation from the pure elements: -0.02 eV per atom
- Energy above the lowest structure with this stoichiometry: 0.0 kJ per mole of atoms
- DOS at the Fermi energy: 7.402 states/eV per cell
- Crystal system: tetragonal

The following is a PBE calculation of a relaxed Ag7Au crystal, from the Alexandria database.

Cell: 5.8799 5.8799 5.8799 Å, 60.00 60.00 60.00°
Last column: nearest neighbours and their distance in Å.
Fractional coordinates of all 8 atoms:
Ag 0.0000 0.0000 0.0000  12 Ag 2.94
Ag 0.0000 0.0000 0.5000  2 Au 2.94, 10 Ag 2.94
Ag 0.0000 0.5000 0.0000  2 Au 2.94, 10 Ag 2.94
Ag 0.0000 0.5000 0.5000  2 Au 2.94, 10 Ag 2.94
Ag 0.5000 0.0000 0.0000  2 Au 2.94, 10 Ag 2.94
Ag 0.5000 0.0000 0.5000  2 Au 2.94, 10 Ag 2.94
Ag 0.5000 0.5000 0.0000  2 Au 2.94, 10 Ag 2.94
Au 0.5000 0.5000 0.5000  12 Ag 2.94

Computed properties:
- Symmetry: Fm-3m, No. 225
- Final energy: -23.121 eV per cell
- Magnetization: 0.0 μB/f.u.
- Calculated volume: 17.968 Å³ per atom
- Energy of formation from the pure elements: 0.01 eV per atom
- DOS at the Fermi energy: 3.163 states/eV per cell
- Crystal system: cubic

The following is a PBE calculation of a relaxed CdFePt2 crystal, from the Alexandria database.

Cell: 4.9403 4.9403 4.8373 Å, 100.27 100.27 33.38°
Last column: nearest neighbours and their distance in Å.
Fractional coordinates of all 4 atoms:
Cd 0.0000 0.0000 0.0000  7 Pt 2.74-2.84, 2 Cd 2.84, 3 Fe 2.92-2.97
Fe 0.7593 0.7593 0.3007  7 Pt 2.68-2.89, 2 Fe 2.84, 3 Cd 2.92-2.97
Pt 0.2458 0.2458 0.7757  4 Fe 2.72-2.89, 3 Cd 2.74-2.83, 5 Pt 2.84-2.97
Pt 0.4978 0.4978 0.4896  3 Fe 2.68-2.79, 4 Cd 2.76-2.84, 5 Pt 2.84-2.97

Computed properties:
- Symmetry: Cm, No. 8
- Final energy: -22.005 eV per cell
- Magnetization: 3.4 μB/f.u.
- Calculated volume: 15.953 Å³ per atom
- Energy of formation from the pure elements: -0.14 eV per atom
- DOS at the Fermi energy: 2.259 states/eV per cell
- Crystal system: monoclinic

The following is a PBE calculation of a relaxed LiLaCdHg2 crystal, from the Alexandria database.

Cell: 5.5788 6.8773 6.3906 Å, 90.00 90.00 90.00°
Last column: nearest neighbours and their distance in Å.
Fractional coordinates of all 10 atoms:
Li 0.0000 0.0000 0.0000  2 Cd 2.76, 2 Li 2.79, 4 Hg 2.83
Li 0.5000 0.0000 0.0000  2 Cd 2.76, 2 Li 2.79, 4 Hg 2.83
La 0.2500 0.5000 0.2244  6 Hg 3.23-3.50, 2 Cd 3.57
La 0.7500 0.5000 0.7756  6 Hg 3.23-3.50, 2 Cd 3.57
Cd 0.2500 0.0000 0.3732  2 Li 2.76, 2 Hg 2.97
Cd 0.7500 0.0000 0.6268  2 Li 2.76, 2 Hg 2.97
Hg 0.2500 0.2644 0.7397  2 Li 2.83, 1 Cd 2.97
Hg 0.2500 0.7356 0.7397  2 Li 2.83, 1 Cd 2.97
Hg 0.7500 0.2644 0.2603  2 Li 2.83, 1 Cd 2.97
Hg 0.7500 0.7356 0.2603  2 Li 2.83, 1 Cd 2.97

Computed properties:
- Symmetry: Pmma, No. 51
- Final energy: -20.028 eV per cell
- Magnetization: 0.0 μB/f.u.
- Calculated volume: 24.519 Å³ per atom
- Energy of formation from the pure elements: -0.33 eV per atom
- Energy above the lowest structure with this stoichiometry: 0.0 kJ per mole of atoms
- DOS at the Fermi energy: 4.797 states/eV per cell
- Crystal system: orthorhombic

The following is a PBE calculation of a relaxed CaAgP crystal, from the Alexandria database.

Cell: 4.1806 4.1806 7.1250 Å, 90.00 90.00 90.00°
Last column: nearest neighbours and their distance in Å.
Fractional coordinates of all 6 atoms:
Ca 0.2500 0.2500 0.1660  5 P 2.94-3.01, 4 Ag 3.17
Ca 0.7500 0.7500 0.8340  5 P 2.94-3.01, 4 Ag 3.17
Ag 0.2500 0.7500 0.5000  4 P 2.76, 4 Ag 2.96
Ag 0.7500 0.2500 0.5000  4 P 2.76, 4 Ag 2.96
P 0.2500 0.2500 0.7535  4 Ag 2.76, 5 Ca 2.94-3.01
P 0.7500 0.7500 0.2465  4 Ag 2.76, 5 Ca 2.94-3.01

Computed properties:
- Symmetry: P4/nmm, No. 129
- Final energy: -24.652 eV per cell
- Magnetization: 0.0 μB/f.u.
- Calculated volume: 20.754 Å³ per atom
- Energy of formation from the pure elements: -0.69 eV per atom
- DOS at the Fermi energy: 0.000 states/eV per cell
- Crystal system: tetragonal

The following is a PBE calculation of a relaxed MgCuRuC crystal, from the Alexandria database.

Cell: 3.2499 5.0869 5.0869 Å, 46.27 90.00 90.00°
Last column: nearest neighbours and their distance in Å.
Fractional coordinates of all 4 atoms:
Mg 0.0000 0.0000 0.0000  2 C 2.36
Cu 0.5000 0.7509 0.7509  2 C 2.10
Ru 0.0000 0.2907 0.2907  2 C 1.91
C 0.5000 0.1833 0.1833  2 Ru 1.91, 2 Cu 2.10

Computed properties:
- Symmetry: Amm2, No. 38
- Final energy: -22.890 eV per cell
- Magnetization: 0.0 μB/f.u.
- Calculated volume: 15.191 Å³ per atom
- Energy of formation from the pure elements: 0.33 eV per atom
- Energy above the lowest structure with this stoichiometry: 9.8 kJ per mole of atoms
- DOS at the Fermi energy: 2.010 states/eV per cell
- Crystal system: orthorhombic

The following is a PBE calculation of a relaxed SrTcAu2 crystal, from the Alexandria database.

Cell: 3.1373 4.9184 5.3052 Å, 90.00 90.65 90.00°
Last column: nearest neighbours and their distance in Å.
Fractional coordinates of all 4 atoms:
Sr 0.0000 0.0000 0.0000  8 Au 3.01-3.15, 2 Sr 3.14, 2 Tc 3.29
Tc 0.9809 0.5000 0.4117  6 Au 2.79-2.97
Au 0.4972 0.5000 0.8492  2 Tc 2.79-2.81, 4 Sr 3.02, 2 Au 3.12
Au 0.4980 0.0000 0.4882  4 Tc 2.92-2.97, 4 Sr 3.01-3.15, 4 Au 3.12-3.14

Computed properties:
- Symmetry: Pm, No. 6
- Final energy: -17.805 eV per cell
- Magnetization: 0.3 μB/f.u.
- Calculated volume: 20.464 Å³ per atom
- Energy of formation from the pure elements: 0.20 eV per atom
- Energy above the lowest structure with this stoichiometry: 15.7 kJ per mole of atoms
- DOS at the Fermi energy: 4.004 states/eV per cell
- Crystal system: monoclinic

The following is a PBE calculation of a relaxed TlNiP2 crystal, from the Alexandria database.

Cell: 4.8468 4.8468 4.8468 Å, 128.32 128.32 76.10°
Last column: nearest neighbours and their distance in Å.
Fractional coordinates of all 4 atoms:
Tl 0.0000 0.0000 0.0000  8 P 2.85-2.99, 4 Ni 2.85
Ni 0.2500 0.7500 0.5000  4 Tl 2.85, 8 P 2.85-2.99
P 0.5000 0.5000 0.0000  4 P 2.85, 4 Ni 2.85, 4 Tl 2.99
P 0.7500 0.2500 0.5000  4 P 2.85, 4 Tl 2.85, 4 Ni 2.99

Computed properties:
- Symmetry: I-4m2, No. 119
- Final energy: -16.188 eV per cell
- Magnetization: 0.0 μB/f.u.
- Calculated volume: 17.031 Å³ per atom
- Energy of formation from the pure elements: 0.69 eV per atom
- Energy above the lowest structure with this stoichiometry: 78.6 kJ per mole of atoms
- DOS at the Fermi energy: 2.519 states/eV per cell
- Crystal system: tetragonal

The records above yield theoretical density values of 7.151; 10.998; 14.531; 8.932; 4.772; 5.491; 11.757; 7.923 g cm⁻³, respectively.